#w
An optimized crystal structure of CoTeAsO. Source: OQMD via LeMat-Bulk, functional PBE with a Hubbard U.

Structure (POSCAR):
```
CoTeAsO
1.0
4.4748 0.0000 0.0000
0.0000 5.9776 0.0000
0.0000 0.0000 5.8647
Co Te As O
2 2 2 2
Cartesian
2.2374 2.2298 0.2051 Co
2.2374 3.7478 3.1375 Co
0.0000 1.4643 2.4827 Te
0.0000 4.5133 5.4151 Te
0.0000 1.3210 5.3693 As
0.0000 4.6566 2.4369 As
2.2374 4.0160 5.1620 O
2.2374 1.9616 2.2296 O
```

***

#x
An optimized crystal structure of CoTeAsO. Source: OQMD via LeMat-Bulk, functional PBE with a Hubbard U.

Structure (POSCAR):
```
CoTeAsO
1.0
3.7190 0.0000 0.0000
0.0000 3.7190 0.0000
0.0000 0.0000 9.1530
As O Te Co
2 2 2 2
Cartesian
0.0000 1.8595 2.8965 As
1.8595 0.0000 6.2565 As
1.8595 1.8595 0.0000 O
0.0000 0.0000 0.0000 O
0.0000 1.8595 7.7880 Te
1.8595 0.0000 1.3650 Te
0.0000 0.0000 4.5765 Co
1.8595 1.8595 4.5765 Co
```

***

Energies relative to the minimum, meV per atom: #w 0; #x 226

***

#w
An optimized crystal structure of TlCoAsO. Source: OQMD via LeMat-Bulk, functional PBE with a Hubbard U.

Structure (POSCAR):
```
TlCoAsO
1.0
-4.0654 -0.3946 1.0224
-0.9520 -0.6748 -4.0456
1.2168 -9.2713 1.2600
As O Co Tl
2 2 2 2
Cartesian
-0.4051 -6.7382 0.1236 As
-3.3955 -3.6025 -1.8868 As
-3.2870 -0.4646 -0.2446 O
-1.7303 -0.6047 -2.7786 O
-0.0392 -9.5262 0.5025 Co
-3.7614 -0.8145 -2.2657 Co
-2.6787 -5.1003 0.3854 Tl
-1.1220 -5.2404 -2.1486 Tl
```

***

#x
An optimized crystal structure of TlCoAsO. Source: OQMD via LeMat-Bulk, functional PBE with a Hubbard U.

Structure (POSCAR):
```
TlCoAsO
1.0
3.9911 0.0000 0.0000
0.0000 3.9911 0.0000
0.0000 0.0000 8.6317
As Tl O Co
2 2 2 2
Cartesian
1.9956 0.0000 5.6921 As
0.0000 1.9956 2.9396 As
1.9956 0.0000 1.1405 Tl
0.0000 1.9956 7.4912 Tl
0.0000 0.0000 0.0000 O
1.9956 1.9956 0.0000 O
0.0000 0.0000 4.3158 Co
1.9956 1.9956 4.3158 Co
```

***

Energies relative to the minimum, meV per atom: #w 104; #x 0

***

#w
An optimized crystal structure of ZrCoAsO. Source: OQMD via LeMat-Bulk, functional PBE with a Hubbard U.

Structure (POSCAR):
```
ZrCoAsO
1.0
-3.2696 1.3607 -0.4495
-1.5207 -4.7330 -3.2664
-1.9528 -2.9702 5.2131
Co O Zr As
2 2 2 2
Cartesian
-1.1192 -2.0444 1.9522 Co
-3.1863 -6.9245 2.2157 Co
-4.4136 -5.3325 1.7865 O
-2.7132 -1.5938 0.7352 O
-3.5653 -3.4744 1.2409 Zr
-2.5785 -1.9568 -1.3432 Zr
-2.0326 -3.6969 3.5938 As
-1.8162 -4.5772 -0.6451 As
```

***

#x
An optimized crystal structure of ZrCoAsO. Source: OQMD via LeMat-Bulk, functional PBE with a Hubbard U.

Structure (POSCAR):
```
ZrCoAsO
1.0
-0.7097 0.1484 4.1603
-4.0903 -0.8097 -0.6689
1.6678 -8.9230 0.6027
Co Zr O As
2 2 2 2
Cartesian
-3.5896 -0.5521 2.6224 Co
0.4573 -9.0323 1.4718 Co
-2.4113 -5.0317 0.8398 Zr
-0.7210 -4.5526 3.2544 Zr
-1.5549 -0.0912 2.9530 O
-3.2452 -0.5702 0.5384 O
-0.0696 -6.2132 1.2814 As
-3.0626 -3.3712 2.8128 As
```

***

Energies relative to the minimum, meV per atom: #w 0; #x 718

***

#w
An optimized crystal structure of ZrCoAsO. Source: OQMD via LeMat-Bulk, functional PBE with a Hubbard U.

Structure (POSCAR):
```
ZrCoAsO
1.0
3.6585 0.0000 0.0000
0.0000 3.6585 0.0000
0.0000 0.0000 8.4052
Zr As O Co
2 2 2 2
Cartesian
0.0000 1.8293 7.1518 Zr
1.8293 0.0000 1.2535 Zr
1.8293 0.0000 5.8593 As
0.0000 1.8293 2.5459 As
0.0000 0.0000 0.0000 O
1.8293 1.8293 0.0000 O
0.0000 0.0000 4.2026 Co
1.8293 1.8293 4.2026 Co
```

***

#x
An optimized crystal structure of ZrCoAsO. Source: OQMD via LeMat-Bulk, functional PBE with a Hubbard U.

Structure (POSCAR):
```
ZrCoAsO
1.0
-1.1347 3.7162 1.6900
-4.2980 -2.4502 2.5022
3.1701 -1.0437 4.4233
O Co Zr As
2 2 2 2
Cartesian
-0.8249 -0.8832 6.7000 O
-0.4228 0.7715 3.3315 O
-2.0435 0.8828 1.9986 Co
-1.5065 -0.2365 4.8203 Co
0.0934 -1.0792 2.4358 Zr
-0.2878 -2.7219 5.7921 Zr
1.8528 -1.5088 4.5617 As
-2.0313 -2.2976 3.6885 As
```

***

Energies relative to the minimum, meV per atom: #w 0; #x 159